# 1
Entry from Alexandria via LeMat-Bulk: crystalline LiCeTl2Se4 at its relaxed geometry (PBE).

Its uncorrected formation energy is -0.9440 eV/atom. The volume is 28.0 Å³ per atom. Its crystal system is monoclinic.

The structure belongs to space group P2/m (No. 10); the cell edges are 7.265, 4.249 and 7.646 Å and the angles 90.00°, 108.59° and 90.00°. The inequivalent atoms are Li at (0.000, 0.000, 0.000), Ce at (0.500, 0.500, 0.000), Tl at (0.000, 0.500, 0.500), Tl at (0.500, 0.000, 0.500), Se at (0.252, 0.500, 0.224) and Se at (0.263, 0.000, 0.791).

---

# 2
Entry from Alexandria via LeMat-Bulk: crystalline BeSi2Pb at its relaxed geometry (PBE).

As for the energy above the lowest structure with this stoichiometry: 0 meV per atom. Its uncorrected formation energy is 0.3626 eV/atom. The volume is 19.0 Å³ per atom. Its crystal system is monoclinic.

The structure belongs to space group C2/m (No. 12); the cell edges are 7.212, 3.570 and 6.066 Å and the angles 90.00°, 103.58° and 90.00°. The inequivalent atoms are Be at (0.000, 0.000, 0.000), Si at (0.234, 0.500, 0.136) and Pb at (0.000, 0.500, 0.500).

---

# 3
Entry from Alexandria via LeMat-Bulk: crystalline ZnTc3Ni at its relaxed geometry (PBE).

As for the energy above the lowest structure with this stoichiometry: 468 meV per atom. The volume is 17.6 Å³ per atom. Its crystal system is cubic. Its formation energy is 1926 meV/atom.

The structure belongs to space group Pm-3m (No. 221); the cell edges are 4.446, 4.446 and 4.446 Å and the angles 90.00°, 90.00° and 90.00°. The inequivalent atoms are Zn at (0.000, 0.000, 0.000), Tc at (0.000, 0.000, 0.500) and Ni at (0.500, 0.500, 0.500).